DFT (PBE with a Hubbard U) results for a relaxed structure of YMnTe2O8.

Cell and atoms, written as CIF:
```
data_YMnTe2O8
_chemical_formula_sum 'Y1 Mn1 Te2 O8'
_symmetry_space_group_name_H-M 'P 1'
_symmetry_Int_Tables_number 1
_cell_length_a 6.122
_cell_length_b 6.122
_cell_length_c 6.008
_cell_angle_alpha 90.00
_cell_angle_beta 90.00
_cell_angle_gamma 120.00
loop_
_symmetry_equiv_pos_as_xyz
'x,y,z'
loop_
_atom_site_label
_atom_site_type_symbol
_atom_site_fract_x
_atom_site_fract_y
_atom_site_fract_z
Y1 Y 0.000 0.000 0.000
Mn1 Mn 0.000 0.000 0.500
Te1 Te 0.333 0.667 0.335
Te2 Te 0.667 0.333 0.665
O1 O 0.146 0.291 0.280
O2 O 0.146 0.854 0.280
O3 O 0.291 0.146 0.720
O4 O 0.333 0.667 0.635
O5 O 0.667 0.333 0.365
O6 O 0.709 0.854 0.280
O7 O 0.854 0.146 0.720
O8 O 0.854 0.709 0.720
```

Values from the calculation:
uncorrected energy	-6.35	eV per atom
density of states at the Fermi level	0.208	states/eV/atom